<P>
# MgSn2Ge2, optimized geometry, DFT PBE
# Mass density in Mg/m³: 5.606
# Spin magnetization in Bohr magnetons per cell: 0.0
data_MgSn2Ge2
_chemical_formula_sum 'Mg2 Sn4 Ge4'
_space_group_name_H-M_alt 'P 4/m b m'
_space_group_IT_number 127
_space_group_name_Hall '-P 4 2ab'
_cell_length_a 7.937
_cell_length_b 7.937
_cell_length_c 3.828
_cell_angle_alpha 90.00
_cell_angle_beta 90.00
_cell_angle_gamma 90.00
loop_
_atom_site_label
_atom_site_type_symbol
_atom_site_fract_x
_atom_site_fract_y
_atom_site_fract_z
_atom_site_occupancy
Mg1 Mg 0.000 0.000 0.000 1
Sn1 Sn 0.148 0.352 0.000 1
Ge1 Ge 0.143 0.643 0.500 1

=====

<Q>
# MgSn2Ge2, optimized geometry, DFT PBE
# Mass density in Mg/m³: 5.710
# Spin magnetization in Bohr magnetons per cell: 0.0
data_MgSn2Ge2
_chemical_formula_sum 'Mg2 Sn4 Ge4'
_space_group_name_H-M_alt 'P 4/m b m'
_space_group_IT_number 127
_space_group_name_Hall '-P 4 2ab'
_cell_length_a 7.149
_cell_length_b 7.149
_cell_length_c 4.632
_cell_angle_alpha 90.00
_cell_angle_beta 90.00
_cell_angle_gamma 90.00
loop_
_atom_site_label
_atom_site_type_symbol
_atom_site_fract_x
_atom_site_fract_y
_atom_site_fract_z
_atom_site_occupancy
Mg1 Mg 0.000 0.000 0.000 1
Sn1 Sn 0.186 0.314 0.500 1
Ge1 Ge 0.126 0.626 0.000 1

=====

Quick one: most stable of them? <Q>

=====

<P>
# Mg3TaGe, optimized geometry, DFT PBE
# Mass density in Mg/m³: 3.519
# Spin magnetization in Bohr magnetons per cell: 2.7
data_Mg3TaGe
_chemical_formula_sum 'Mg3 Ta1 Ge1'
_space_group_name_H-M_alt 'P m -3 m'
_space_group_IT_number 221
_space_group_name_Hall '-P 4 2 3'
_cell_length_a 5.361
_cell_length_b 5.361
_cell_length_c 5.361
_cell_angle_alpha 90.00
_cell_angle_beta 90.00
_cell_angle_gamma 90.00
loop_
_atom_site_label
_atom_site_type_symbol
_atom_site_fract_x
_atom_site_fract_y
_atom_site_fract_z
_atom_site_occupancy
Mg1 Mg 0.000 0.000 0.500 1
Ta1 Ta 0.000 0.000 0.000 1
Ge1 Ge 0.500 0.500 0.500 1

=====

<Q>
# Mg3TaGe, optimized geometry, DFT PBE
# Mass density in Mg/m³: 4.568
# Spin magnetization in Bohr magnetons per cell: 1.4
data_Mg3TaGe
_chemical_formula_sum 'Mg3 Ta1 Ge1'
_space_group_name_H-M_alt 'P m -3 m'
_space_group_IT_number 221
_space_group_name_Hall '-P 4 2 3'
_cell_length_a 4.914
_cell_length_b 4.914
_cell_length_c 4.914
_cell_angle_alpha 90.00
_cell_angle_beta 90.00
_cell_angle_gamma 90.00
loop_
_atom_site_label
_atom_site_type_symbol
_atom_site_fract_x
_atom_site_fract_y
_atom_site_fract_z
_atom_site_occupancy
Mg1 Mg 0.000 0.000 0.500 1
Ta1 Ta 0.500 0.500 0.500 1
Ge1 Ge 0.000 0.000 0.000 1

=====

Quick one: most stable of them? <Q>

=====

<P>
# MgTaGe3, optimized geometry, DFT PBE
# Mass density in Mg/m³: 5.480
# Spin magnetization in Bohr magnetons per cell: 0.0
data_MgTaGe3
_chemical_formula_sum 'Mg1 Ta1 Ge3'
_space_group_name_H-M_alt 'P m -3 m'
_space_group_IT_number 221
_space_group_name_Hall '-P 4 2 3'
_cell_length_a 5.043
_cell_length_b 5.043
_cell_length_c 5.043
_cell_angle_alpha 90.00
_cell_angle_beta 90.00
_cell_angle_gamma 90.00
loop_
_atom_site_label
_atom_site_type_symbol
_atom_site_fract_x
_atom_site_fract_y
_atom_site_fract_z
_atom_site_occupancy
Mg1 Mg 0.000 0.000 0.000 1
Ta1 Ta 0.500 0.500 0.500 1
Ge1 Ge 0.000 0.500 0.500 1

=====

<Q>
# MgTaGe3, optimized geometry, DFT PBE
# Mass density in Mg/m³: 6.352
# Spin magnetization in Bohr magnetons per cell: 0.0
data_MgTaGe3
_chemical_formula_sum 'Mg1 Ta1 Ge3'
_space_group_name_H-M_alt 'P m -3 m'
_space_group_IT_number 221
_space_group_name_Hall '-P 4 2 3'
_cell_length_a 4.800
_cell_length_b 4.800
_cell_length_c 4.800
_cell_angle_alpha 90.00
_cell_angle_beta 90.00
_cell_angle_gamma 90.00
loop_
_atom_site_label
_atom_site_type_symbol
_atom_site_fract_x
_atom_site_fract_y
_atom_site_fract_z
_atom_site_occupancy
Mg1 Mg 0.000 0.000 0.000 1
Ta1 Ta 0.500 0.500 0.500 1
Ge1 Ge 0.000 0.000 0.500 1

=====

Quick one: most stable of them? <P>